[1]
Tm8ZnAg2: relaxed, PBE.

## Properties
Its space-group type is No. 12. Its total energy is -44.44 eV per formula unit.

abc: 5.1156 6.8073 9.0842
angles: 106.52 106.35 90.00
Fractional coordinates of all 11 atoms:
Tm (0.4065, 0.5440, 0.8130)
Tm (0.6666, 0.9737, 0.3332)
Tm (0.8033, 0.6917, 0.6065)
Tm (0.9720, 0.2175, 0.9441)
Tm (0.1967, 0.3083, 0.3935)
Tm (0.3334, 0.0263, 0.6668)
Tm (0.5935, 0.4560, 0.1870)
Tm (0.0280, 0.7825, 0.0559)
Zn (0.5000, 0.0000, 0.0000)
Ag (0.8162, 0.2835, 0.6324)
Ag (0.1838, 0.7165, 0.3676)

[2]
Rb3TaSe4: relaxed, PBE.

## Properties
Its space-group type is No. 44. The value obtained for the formation energy from raw total energies is -1056 meV per atom.

abc: 7.6996 7.6996 7.6996
angles: 92.32 116.09 121.31
Fractional coordinates of all 8 atoms:
Rb (0.5722, 0.2409, 0.8130)
Rb (0.0016, 0.0000, 0.0016)
Rb (0.5722, 0.7591, 0.3313)
Ta (0.0044, 0.5000, 0.5044)
Se (0.1691, 0.6896, 0.8586)
Se (0.1691, 0.3104, 0.4795)
Se (0.5755, 0.2442, 0.3313)
Se (0.0871, 0.7558, 0.3313)

[3]
ReN2: relaxed, PBE.

## Properties
Its space-group type is No. 57. The value obtained for the formation energy from raw total energies is 288 meV per atom.

abc: 2.9175 4.9557 7.8669
angles: 90.00 90.00 90.00
Fractional coordinates of all 12 atoms:
Re (0.2973, 0.2500, 0.5000)
Re (0.7027, 0.7500, 0.0000)
Re (0.2973, 0.2500, 0.0000)
Re (0.7027, 0.7500, 0.5000)
N (0.7923, 0.0810, 0.6634)
N (0.2077, 0.9190, 0.1634)
N (0.7923, 0.4190, 0.1634)
N (0.2077, 0.5810, 0.6634)
N (0.7923, 0.0810, 0.8366)
N (0.2077, 0.9190, 0.3366)
N (0.7923, 0.4190, 0.3366)
N (0.2077, 0.5810, 0.8366)

[4]
LiSbMo2: relaxed, PBE.

## Properties
Its space-group type is No. 122. The value obtained for the formation energy from raw total energies is 452 meV per atom.

abc: 3.7879 3.7879 10.2514
angles: 79.35 79.35 90.00
Fractional coordinates of all 8 atoms:
Sb (0.0000, 0.0000, 0.0000)
Sb (0.7500, 0.2500, 0.5000)
Mo (0.5914, 0.1250, 0.2500)
Mo (0.1586, 0.6250, 0.2500)
Mo (0.3750, 0.4086, 0.7500)
Mo (0.8750, 0.8414, 0.7500)
Li (0.5000, 0.5000, 0.0000)
Li (0.2500, 0.7500, 0.5000)

[5]
U5Os3: relaxed, PBE.

## Properties
Its space-group type is No. 12. Its total energy is -90.14 eV per formula unit.

abc: 7.8587 7.8587 8.0769
angles: 86.10 86.10 140.24
Fractional coordinates of all 16 atoms:
U (0.7621, 0.7621, 0.5741)
U (0.2379, 0.2379, 0.4259)
U (0.2138, 0.5551, 0.7066)
U (0.7862, 0.4449, 0.2934)
U (0.3664, 0.1822, 0.1192)
U (0.6336, 0.8178, 0.8808)
U (0.4449, 0.7862, 0.2934)
U (0.5551, 0.2138, 0.7066)
U (0.8178, 0.6336, 0.8808)
U (0.1822, 0.3664, 0.1192)
Os (0.2275, 0.7725, 0.0000)
Os (0.7725, 0.2275, 0.0000)
Os (0.7711, 0.7711, 0.2222)
Os (0.2289, 0.2289, 0.7778)
Os (0.8167, 0.1833, 0.5000)
Os (0.1833, 0.8167, 0.5000)

[6]
Al2NiMo2: relaxed, PBE.

## Properties
Its space-group type is No. 127. Its total energy is -34.99 eV per formula unit.

abc: 6.3068 6.3068 3.6575
angles: 90.00 90.00 90.00
Fractional coordinates of all 10 atoms:
Ni (0.0000, 0.0000, 0.0000)
Ni (0.5000, 0.5000, 0.0000)
Mo (0.1695, 0.6695, 0.5000)
Mo (0.6695, 0.8305, 0.5000)
Mo (0.8305, 0.3305, 0.5000)
Mo (0.3305, 0.1695, 0.5000)
Al (0.3624, 0.8624, 0.0000)
Al (0.8624, 0.6376, 0.0000)
Al (0.6376, 0.1376, 0.0000)
Al (0.1376, 0.3624, 0.0000)

[7]
BeSb2Au: relaxed, PBE.

## Properties
Its space-group type is No. 65. The value obtained for the formation energy from raw total energies is 378 meV per atom.

abc: 3.3750 3.3750 7.7812
angles: 90.00 90.00 108.87
Fractional coordinates of all 4 atoms:
Sb (0.0000, 0.0000, 0.9671)
Sb (0.0000, 0.0000, 0.5329)
Au (0.5000, 0.5000, 0.2500)
Be (0.5000, 0.5000, 0.7500)

[8]
La2Zn12Co5: relaxed, PBE.

## Properties
Its space-group type is No. 166. Its total energy is -63.95 eV per formula unit.

abc: 6.6973 6.6973 6.6973
angles: 83.76 83.76 83.76
Fractional coordinates of all 19 atoms:
La (0.6645, 0.6645, 0.6645)
La (0.3355, 0.3355, 0.3355)
Zn (0.2832, 0.7168, 0.0000)
Zn (0.7168, 0.0000, 0.2832)
Zn (0.0000, 0.2832, 0.7168)
Zn (0.7168, 0.2832, 0.0000)
Zn (0.2832, 0.0000, 0.7168)
Zn (0.0000, 0.7168, 0.2832)
Zn (0.3413, 0.3413, 0.8629)
Zn (0.3413, 0.8629, 0.3413)
Zn (0.8629, 0.3413, 0.3413)
Zn (0.6587, 0.1371, 0.6587)
Zn (0.6587, 0.6587, 0.1371)
Zn (0.1371, 0.6587, 0.6587)
Co (0.0000, 0.0000, 0.5000)
Co (0.0000, 0.5000, 0.0000)
Co (0.5000, 0.0000, 0.0000)
Co (0.9034, 0.9034, 0.9034)
Co (0.0966, 0.0966, 0.0966)

[9]
Ba2AcInS5: relaxed, PBE.

## Properties
Its space-group type is No. 36. The value obtained for the formation energy from raw total energies is -1706 meV per atom.

abc: 4.3049 9.7213 13.0434
angles: 90.00 90.00 102.79
Fractional coordinates of all 18 atoms:
Ba (0.8739, 0.7479, 0.8186)
Ba (0.1114, 0.2228, 0.6829)
Ba (0.1261, 0.2521, 0.3186)
Ba (0.8886, 0.7772, 0.1829)
Ac (0.7894, 0.5787, 0.5210)
Ac (0.2106, 0.4213, 0.0210)
In (0.5474, 0.0949, 0.9398)
In (0.4526, 0.9051, 0.4398)
S (0.3620, 0.7240, 0.0039)
S (0.6751, 0.3502, 0.8676)
S (0.4939, 0.9878, 0.7706)
S (0.2893, 0.5786, 0.6739)
S (0.9558, 0.9115, 0.5457)
S (0.6380, 0.2760, 0.5039)
S (0.3249, 0.6498, 0.3676)
S (0.5061, 0.0122, 0.2706)
S (0.7107, 0.4214, 0.1739)
S (0.0442, 0.0885, 0.0457)

[10]
CaAlTe: relaxed, PBE.

## Properties
Its space-group type is No. 38. The value obtained for the formation energy from raw total energies is -352 meV per atom.

abc: 4.0153 4.0161 12.7326
angles: 90.00 90.00 119.99
Fractional coordinates of all 6 atoms:
Al (0.6119, 0.2239, 0.0000)
Al (0.2769, 0.5539, 0.5000)
Te (0.6107, 0.2214, 0.3569)
Te (0.6107, 0.2214, 0.6431)
Ca (0.2782, 0.5564, 0.8165)
Ca (0.2782, 0.5564, 0.1835)

[11]
Th2Te3Au: relaxed, PBE.

## Properties
Its space-group type is No. 65. The value obtained for the formation energy from raw total energies is -934 meV per atom.

abc: 4.2378 4.1461 11.6313
angles: 90.00 100.50 90.00
Fractional coordinates of all 6 atoms:
Th (0.1056, 0.5000, 0.2112)
Th (0.8944, 0.5000, 0.7888)
Te (0.3384, 0.0000, 0.6767)
Te (0.6616, 0.0000, 0.3233)
Te (0.5000, 0.5000, 0.0000)
Au (0.0000, 0.0000, 0.0000)

[12]
MoW2Se4S2: relaxed, PBE.

## Properties
Its space-group type is No. 187. The value obtained for the formation energy from raw total energies is -656 meV per atom.

abc: 3.2788 3.2788 27.4126
angles: 90.00 90.00 120.00
Fractional coordinates of all 9 atoms:
Mo (0.6667, 0.3333, 0.0000)
W (0.3333, 0.6667, 0.7388)
W (0.3333, 0.6667, 0.2612)
Se (0.6667, 0.3333, 0.6769)
Se (0.6667, 0.3333, 0.1992)
Se (0.6667, 0.3333, 0.8008)
Se (0.6667, 0.3333, 0.3231)
S (0.3333, 0.6667, 0.0561)
S (0.3333, 0.6667, 0.9439)